[1]
Compound: Sm2Pu2Pb3
Source: Alexandria via LeMat-Bulk
Functional: PBE-GGA
Structure: optimized geometry

a = 4.685 Å, b = 24.222 Å, c = 3.518 Å
α = 90.00°, β = 90.00°, γ = 90.00°
Space group Cmmm (No. 65)
Symmetry-distinct sites (fractional):
Sm (0.000, 0.076, 0.000) [4 per cell]
Pu (0.000, 0.214, 0.000) [4 per cell]
Pb (0.000, 0.347, 0.500) [4 per cell]
Pb (0.000, 0.500, 0.500) [2 per cell]

Calculated values
As for the crystal system: orthorhombic.


[2]
Compound: SmPuPb2
Source: Alexandria via LeMat-Bulk
Functional: PBE-GGA
Structure: optimized geometry

a = 5.868 Å, b = 5.868 Å, c = 3.370 Å
α = 90.00°, β = 90.00°, γ = 90.00°
Space group P4/mmm (No. 123)
Symmetry-distinct sites (fractional):
Sm (0.000, 0.000, 0.000) [1 per cell]
Pu (0.500, 0.500, 0.000) [1 per cell]
Pb (0.000, 0.500, 0.500) [2 per cell]

Calculated values
As for the crystal system: tetragonal.


[3]
Compound: Sm4PuPb5
Source: Alexandria via LeMat-Bulk
Functional: PBE-GGA
Structure: optimized geometry

a = 3.554 Å, b = 3.554 Å, c = 23.040 Å
α = 90.00°, β = 90.00°, γ = 90.00°
Space group P4/mmm (No. 123)
Symmetry-distinct sites (fractional):
Sm (0.000, 0.000, 0.100) [2 per cell]
Sm (0.000, 0.000, 0.301) [2 per cell]
Pu (0.000, 0.000, 0.500) [1 per cell]
Pb (0.500, 0.500, 0.000) [1 per cell]
Pb (0.500, 0.500, 0.200) [2 per cell]
Pb (0.500, 0.500, 0.400) [2 per cell]

Calculated values
As for the crystal system: tetragonal.


[4]
Compound: SmPu3Pb4
Source: Alexandria via LeMat-Bulk
Functional: PBE-GGA
Structure: optimized geometry

a = 4.551 Å, b = 5.011 Å, c = 10.034 Å
α = 90.00°, β = 90.00°, γ = 90.00°
Space group Pmmm (No. 47)
Symmetry-distinct sites (fractional):
Sm (0.000, 0.000, 0.000) [1 per cell]
Pu (0.000, 0.000, 0.500) [1 per cell]
Pu (0.000, 0.500, 0.254) [2 per cell]
Pb (0.500, 0.000, 0.251) [2 per cell]
Pb (0.500, 0.500, 0.000) [1 per cell]
Pb (0.500, 0.500, 0.500) [1 per cell]

Calculated values
As for the crystal system: orthorhombic.


[5]
Compound: Sm2PuPb9
Source: Alexandria via LeMat-Bulk
Functional: PBE-GGA
Structure: optimized geometry

a = 3.675 Å, b = 5.737 Å, c = 17.157 Å
α = 90.00°, β = 90.00°, γ = 90.00°
Space group Pmmm (No. 47)
Symmetry-distinct sites (fractional):
Sm (0.000, 0.000, 0.166) [2 per cell]
Pu (0.000, 0.000, 0.500) [1 per cell]
Pb (0.000, 0.500, 0.000) [1 per cell]
Pb (0.000, 0.500, 0.335) [2 per cell]
Pb (0.500, 0.000, 0.000) [1 per cell]
Pb (0.500, 0.000, 0.334) [2 per cell]
Pb (0.500, 0.500, 0.168) [2 per cell]
Pb (0.500, 0.500, 0.500) [1 per cell]

Calculated values
As for the crystal system: orthorhombic.


[6]
Compound: SmPuPb
Source: Alexandria via LeMat-Bulk
Functional: PBE-GGA
Structure: optimized geometry

a = 3.532 Å, b = 3.532 Å, c = 14.557 Å
α = 90.00°, β = 90.00°, γ = 90.00°
Space group I4mm (No. 107)
Symmetry-distinct sites (fractional):
Sm (0.000, 0.000, 0.000) [2 per cell]
Pu (0.000, 0.000, 0.315) [2 per cell]
Pb (0.000, 0.000, 0.659) [2 per cell]

Calculated values
As for the crystal system: tetragonal.


Listing M_tot for the structures above in their given order: 23.77; 6.12; 5.95; 6.59; 5.65; 12.60 μB/cell.
Listing raw total energy for the structures above in their given order: -7.278; -6.896; -5.603; -8.002; -4.948; -7.676 eV per atom.